1.
{"formula": "ZnRh2Br", "functional": "PBE", "state": "relaxed", "cell": [[2.9543, -0.0099, 0.0000], [-1.4755, 2.5594, 0.0000], [0.0000, 0.0000, 8.9250]], "species": ["Rh", "Br", "Zn", "Rh"], "fractional_positions": [[0.0000, 0.0000, 0.0070], [0.5000, 0.5000, 0.7615], [0.0000, 0.0000, 0.4799], [0.5000, 0.5000, 0.2516]], "de_polymorph_mev_per_atom": 276.5, "n_ef_per_ev_fu": 3.74, "density_g_cm3": 8.656, "formation_energy_uncorrected_ev_per_atom": 0.39, "magmom_total_mub_per_fu": 0.000}

***

2.
{"formula": "Pm7NdTl2", "functional": "PBE", "state": "relaxed", "cell": [[5.4656, 0.0000, 0.0000], [0.0000, 9.2253, -0.2349], [0.0000, -4.2805, 8.1755]], "species": ["Pm", "Nd", "Tl", "Tl", "Pm", "Pm", "Pm", "Pm", "Pm", "Pm"], "fractional_positions": [[0.0000, 0.2261, 0.7739], [0.0000, 0.0000, 0.0000], [0.5000, 0.6941, 0.3059], [0.5000, 0.3059, 0.6941], [0.5000, 0.5000, 0.5000], [0.5000, 0.9387, 0.6979], [0.5000, 0.3021, 0.0613], [0.5000, 0.0613, 0.3021], [0.0000, 0.7739, 0.2261], [0.5000, 0.6979, 0.9387]], "n_ef_per_ev_fu": 20.46, "density_g_cm3": 6.402, "formation_enthalpy_0k_ev_per_atom": 0.33, "magmom_total_mub_per_fu": 0.002}

***

3.
{"formula": "K2TaCd", "functional": "PBE", "state": "relaxed", "cell": [[-2.2449, 1.6895, 1.1468], [-2.0061, -2.1428, -0.7702], [1.5719, -5.4791, 11.1491]], "species": ["Cd", "K", "K", "Ta"], "fractional_positions": [[0.5000, 0.5000, 0.7500], [0.0000, 0.0000, 0.0028], [0.0000, 0.0000, 0.4972], [0.5000, 0.5000, 0.2500]], "n_ef_per_ev_fu": 4.12, "density_g_cm3": 5.350, "formation_enthalpy_0k_ev_per_atom": 0.93, "magmom_total_mub_per_fu": 0.704}